First-principles (PBE) data for crystalline K3Pt3Pb8 at its relaxed geometry, as listed in Alexandria.

Computed properties:
Calculated formation energy: -1.7 eV per formula unit
Spin magnetization: 0.00 μB/atom

a = 9.765 Å, b = 9.765 Å, c = 9.765 Å
α = 150.88°, β = 104.17°, γ = 83.20°
Positions (direct):
K  0.000  0.000  0.000
K  0.347  0.347  0.000
K  0.653  0.653  0.000
Pt  0.237  0.500  0.737
Pt  0.500  0.000  0.500
Pt  0.763  0.500  0.263
Pb  0.036  0.670  0.366
Pb  0.193  0.892  0.301
Pb  0.304  0.670  0.634
Pb  0.408  0.108  0.301
Pb  0.592  0.892  0.699
Pb  0.696  0.330  0.366
Pb  0.807  0.108  0.699
Pb  0.964  0.330  0.634